DFT (PBE-GGA) results for a relaxed KCaMnCl5 crystal.

Computed properties:
* E_form (uncorrected): -1.81 eV/atom

Cell: 8.9968 12.1027 9.9030 Å, 90.00 113.02 90.00°
Closest atoms and distances in Å follow each position.
Space group C2/c (No. 15)
Inequivalent atoms, fractional coordinates:
K 0.0000 0.1599 0.2500 x4  5 Cl 3.10-3.27
Ca 0.0000 0.5000 0.0000 x4  6 Cl 2.68-2.81
Mn 0.0000 0.1824 0.7500 x4  4 Cl 2.36-2.37
Cl 0.0000 0.4159 0.2500 x4  2 Ca 2.68
Cl 0.1160 0.2929 0.6200 x8  1 Mn 2.36
Cl 0.1776 0.0618 0.9293 x8  1 Mn 2.37

***

DFT (PBE-GGA) results for a relaxed LiVCu3 crystal.

Computed properties:
* polymorph energy (0 for the lowest one): 0.330 eV per atom

Cell: 4.6285 4.6285 4.6285 Å, 90.00 90.00 90.00°
Closest atoms and distances in Å follow each position.
Space group Pm-3m (No. 221)
Inequivalent atoms, fractional coordinates:
Li 0.0000 0.0000 0.0000 x1  12 Cu 3.27
V 0.5000 0.5000 0.5000 x1  6 Cu 2.31
Cu 0.0000 0.5000 0.5000 x3  2 V 2.31

***

DFT (PBE-GGA) results for a relaxed In2SbRuI crystal.

Computed properties:
* E_form (uncorrected): -0.14 eV/atom

Cell: 5.3673 5.3673 4.9683 Å, 90.00 90.00 90.00°
Closest atoms and distances in Å follow each position.
Space group P4/mmm (No. 123)
Inequivalent atoms, fractional coordinates:
In 0.0000 0.5000 0.0000 x2  2 Ru 2.68
Sb 0.0000 0.0000 0.5000 x1  2 Ru 2.48
Ru 0.0000 0.0000 0.0000 x1  2 Sb 2.48, 4 In 2.68
I 0.5000 0.5000 0.5000 x1  8 In 3.66, 4 Sb 3.80

***

DFT (PBE-GGA) results for a relaxed BaCrHg2 crystal.

Computed properties:
* total DFT energy (no corrections): -2.865 eV per atom

Cell: 4.4649 5.5240 9.5721 Å, 90.00 90.00 90.00°
Closest atoms and distances in Å follow each position.
Space group Imm2 (No. 44)
Inequivalent atoms, fractional coordinates:
Ba 0.0000 0.0000 0.0000 x2  4 Cr 3.48, 8 Hg 3.48-3.56
Cr 0.0000 0.5000 0.7794 x2  2 Hg 2.89
Hg 0.0000 0.0000 0.4710 x2  2 Cr 2.89
Hg 0.0000 0.5000 0.2215 x2  4 Hg 3.28-3.65, 4 Ba 3.48, 4 Cr 3.59

***

DFT (PBE-GGA) results for a relaxed RbAlOs3 crystal.

Computed properties:
* polymorph energy (0 for the lowest one): 0.000 eV per atom

Cell: 4.6878 4.6878 4.6878 Å, 90.00 90.00 90.00°
Closest atoms and distances in Å follow each position.
Space group Pm-3m (No. 221)
Inequivalent atoms, fractional coordinates:
Rb 0.0000 0.0000 0.0000 x1  12 Os 3.31
Al 0.5000 0.5000 0.5000 x1  6 Os 2.34
Os 0.0000 0.5000 0.5000 x3  2 Al 2.34

***

DFT (PBE-GGA) results for a relaxed InSnS3 crystal.

Computed properties:
* E_form (uncorrected): -0.37 eV/atom

Cell: 6.6772 4.2598 10.1609 Å, 90.00 102.23 90.00°
Closest atoms and distances in Å follow each position.
Space group P2_1/m (No. 11)
Inequivalent atoms, fractional coordinates:
In 0.0088 0.2500 0.1698 x2  4 S 2.46-2.71
Sn 0.4920 0.2500 0.6645 x2  6 S 2.67-2.86
S 0.1760 0.7500 0.1055 x2  3 In 2.55-2.81
S 0.2957 0.2500 0.4030 x2  3 Sn 2.70-2.73, 1 In 2.71
S 0.3122 0.7500 0.7471 x2  1 In 2.46, 2 Sn 2.67

***

DFT (PBE-GGA) results for a relaxed KMnSb2 crystal.

Computed properties:
* polymorph energy (0 for the lowest one): 0.118 eV per atom
* E_form (uncorrected): -0.04 eV/atom

Cell: 3.1661 3.9599 17.7990 Å, 90.00 90.00 90.00°
Closest atoms and distances in Å follow each position.
Space group Imm2 (No. 44)
Inequivalent atoms, fractional coordinates:
K 0.0000 0.0000 0.0000 x2  2 K 3.17, 2 Sb 3.54
Mn 0.0000 0.5000 0.7340 x2  6 Sb 2.71-2.82
Sb 0.0000 0.0000 0.3574 x2  2 Mn 2.71
Sb 0.0000 0.5000 0.1648 x2  4 Mn 2.82

***

DFT (PBE-GGA) results for a relaxed Tl2Cd2In5Hg2 crystal.

Computed properties:
* total DFT energy (no corrections): -1.750 eV per atom

Cell: 4.5356 4.5356 35.5619 Å, 90.00 90.00 90.00°
Closest atoms and distances in Å follow each position.
Space group I4/mmm (No. 139)
Inequivalent atoms, fractional coordinates:
Tl 0.0000 0.0000 0.2138 x4  5 Cd 3.10-3.25
Cd 0.0000 0.0000 0.3009 x4  5 Tl 3.10-3.25, 4 In 3.17
In 0.0000 0.0000 0.0000 x2  2 Hg 2.80
In 0.0000 0.5000 0.1367 x8  2 Hg 3.07, 2 Cd 3.17, 4 In 3.21
Hg 0.0000 0.0000 0.0786 x4  5 In 2.80-3.07

***

no.,spin magnetization (μB/f.u.)
1,5.0
2,2.3
3,0.0
4,4.6
5,2.7
6,0.0
7,3.2
8,0.0